[1]
Entry from Alexandria: a relaxed structure of BiAs2Br2 (PBE-GGA).

```
data_BiAs2Br2
_symmetry_space_group_name_H-M 'I 4/m m m'
_symmetry_Int_Tables_number 139
_symmetry_space_group_name_Hall '-I 4 2'
_cell_length_a 4.8825
_cell_length_b 4.8825
_cell_length_c 11.6964
_cell_angle_alpha 90.00
_cell_angle_beta 90.00
_cell_angle_gamma 90.00
loop_
_atom_site_label
_atom_site_fract_x
_atom_site_fract_y
_atom_site_fract_z
Bi1 0.0000 0.0000 0.0000
As1 0.0000 0.0000 0.4009
Br1 0.0000 0.5000 0.2500
```

## Properties
energy above the lowest structure with this stoichiometry: 333 meV/atom
total moment: 0.00 μB/cell

=====

[2]
Entry from Alexandria: a relaxed structure of CsNb3Co (PBE-GGA).

```
data_CsNb3Co
_symmetry_space_group_name_H-M 'P m -3 m'
_symmetry_Int_Tables_number 221
_symmetry_space_group_name_Hall '-P 4 2 3'
_cell_length_a 4.8167
_cell_length_b 4.8167
_cell_length_c 4.8167
_cell_angle_alpha 90.00
_cell_angle_beta 90.00
_cell_angle_gamma 90.00
loop_
_atom_site_label
_atom_site_fract_x
_atom_site_fract_y
_atom_site_fract_z
Cs1 0.0000 0.0000 0.0000
Nb1 0.0000 0.5000 0.5000
Co1 0.5000 0.5000 0.5000
```

## Properties
energy above the lowest structure with this stoichiometry: 0 meV/atom
ΔH_f (0 K): 1.32 eV per atom
total moment: 0.00 μB/cell

=====

[3]
Entry from Alexandria: a relaxed structure of BaNaMgRh2 (PBE-GGA).

```
data_BaNaMgRh2
_symmetry_space_group_name_H-M 'P 4/m m m'
_symmetry_Int_Tables_number 123
_symmetry_space_group_name_Hall '-P 4 2'
_cell_length_a 4.8662
_cell_length_b 4.8662
_cell_length_c 5.7063
_cell_angle_alpha 90.00
_cell_angle_beta 90.00
_cell_angle_gamma 90.00
loop_
_atom_site_label
_atom_site_fract_x
_atom_site_fract_y
_atom_site_fract_z
Ba1 0.0000 0.0000 0.0000
Na1 0.5000 0.5000 0.0000
Mg1 0.0000 0.0000 0.5000
Rh1 0.0000 0.5000 0.5000
```

## Properties
ΔH_f (0 K): 0.63 eV per atom
total moment: 0.00 μB/cell

=====

[4]
Entry from Alexandria: a relaxed structure of Li2LaSi (PBE-GGA).

```
data_Li2LaSi
_symmetry_space_group_name_H-M 'R 3 m'
_symmetry_Int_Tables_number 160
_symmetry_space_group_name_Hall 'R 3 -2"'
_cell_length_a 4.4847
_cell_length_b 4.4847
_cell_length_c 15.0858
_cell_angle_alpha 90.00
_cell_angle_beta 90.00
_cell_angle_gamma 120.00
loop_
_atom_site_label
_atom_site_fract_x
_atom_site_fract_y
_atom_site_fract_z
Li1 0.0000 0.0000 0.0000
Li2 0.0000 0.0000 0.2843
La1 0.0000 0.0000 0.4809
Si1 0.0000 0.0000 0.6931
```

## Properties
calculated total energy: -3.851 eV/atom
total moment: 2.46 μB/cell

=====

[5]
Entry from Alexandria: a relaxed structure of Pb5W4 (PBE-GGA).

```
data_Pb5W4
_symmetry_space_group_name_H-M 'P 63/m c m'
_symmetry_Int_Tables_number 193
_symmetry_space_group_name_Hall '-P 6c 2'
_cell_length_a 9.2540
_cell_length_b 9.2540
_cell_length_c 5.7982
_cell_angle_alpha 90.00
_cell_angle_beta 90.00
_cell_angle_gamma 120.00
loop_
_atom_site_label
_atom_site_fract_x
_atom_site_fract_y
_atom_site_fract_z
Pb1 0.0000 0.3615 0.2500
Pb2 0.3333 0.6667 0.0000
W1 0.0000 0.0000 0.0000
W2 0.0000 0.2414 0.7500
```

## Properties
energy above the lowest structure with this stoichiometry: 331 meV/atom
ΔH_f (0 K): 1.08 eV per atom
total moment: 0.00 μB/cell

=====

[6]
Entry from Alexandria: a relaxed structure of Pr6InTe3Pb2 (PBE-GGA).

```
data_Pr6InTe3Pb2
_symmetry_space_group_name_H-M 'C 1 2/m 1'
_symmetry_Int_Tables_number 12
_symmetry_space_group_name_Hall '-C 2y'
_cell_length_a 20.1370
_cell_length_b 4.5387
_cell_length_c 9.2204
_cell_angle_alpha 90.00
_cell_angle_beta 105.99
_cell_angle_gamma 90.00
loop_
_atom_site_label
_atom_site_fract_x
_atom_site_fract_y
_atom_site_fract_z
Pr1 0.0013 0.0000 0.2483
Pr2 0.1665 0.5000 0.5819
Pr3 0.1679 0.5000 0.0780
In1 0.0000 0.5000 0.5000
Te1 0.0000 0.5000 0.0000
Te2 0.1679 0.0000 0.3307
Pb1 0.1648 0.0000 0.8283
```

## Properties
calculated total energy: -5.008 eV/atom
total moment: 0.00 μB/cell